i:
First-principles (PBE) data for crystalline Ca2PbSe at its relaxed geometry, as listed in Alexandria.

Summary:
- Space-group type: F-43m (216)

Unit cell a=5.4971 b=5.4971 c=5.4971 alpha=60.00 beta=60.00 gamma=60.00
Atoms (fractional coordinates):
Ca 0.0000 0.0000 0.0000
Ca 0.2500 0.2500 0.2500
Pb 0.5000 0.5000 0.5000
Se 0.7500 0.7500 0.7500



ii:
First-principles (PBE) data for crystalline Ca2PbSe at its relaxed geometry, as listed in Alexandria.

Summary:
- Space-group type: R-3m (166)

Unit cell a=8.7087 b=8.7087 c=8.7087 alpha=26.94 beta=26.94 gamma=26.94
Atoms (fractional coordinates):
Ca 0.2364 0.2364 0.2364
Ca 0.7636 0.7636 0.7636
Pb 0.0000 0.0000 0.0000
Se 0.5000 0.5000 0.5000



Relative energy table, unit eV/atom: i 0.886; ii 0.000



i:
First-principles (PBE) data for crystalline Ca2PbSe at its relaxed geometry, as listed in Alexandria.

Summary:
- Space-group type: Immm (71)

Unit cell a=5.9289 b=5.9289 c=5.9289 alpha=138.87 beta=114.63 gamma=80.21
Atoms (fractional coordinates):
Ca 0.2147 0.2147 0.0000
Ca 0.7853 0.7853 0.0000
Pb 0.5000 0.0000 0.5000
Se 0.0000 0.5000 0.5000



ii:
First-principles (PBE) data for crystalline Ca2PbSe at its relaxed geometry, as listed in Alexandria.

Summary:
- Space-group type: C2/m (12)

Unit cell a=5.4640 b=5.4640 c=3.7471 alpha=90.09 beta=90.09 gamma=98.98
Atoms (fractional coordinates):
Ca 0.0000 0.5000 0.0000
Ca 0.5000 0.0000 0.0000
Pb 0.0000 0.0000 0.5000
Se 0.5000 0.5000 0.5000



Relative energy table, unit eV/atom: i 0.057; ii 0.000



i:
First-principles (PBE) data for crystalline Ca2PbSe at its relaxed geometry, as listed in Alexandria.

Summary:
- Space-group type: Fm-3m (225)

Unit cell a=5.4162 b=5.4162 c=5.4162 alpha=60.00 beta=60.00 gamma=60.00
Atoms (fractional coordinates):
Ca 0.2500 0.2500 0.2500
Ca 0.7500 0.7500 0.7500
Pb 0.0000 0.0000 0.0000
Se 0.5000 0.5000 0.5000



ii:
First-principles (PBE) data for crystalline Ca2PbSe at its relaxed geometry, as listed in Alexandria.

Summary:
- Space-group type: I-42d (122)

Unit cell a=6.8937 b=6.8937 c=6.8937 alpha=106.94 beta=106.94 gamma=114.67
Atoms (fractional coordinates):
Ca 0.0865 0.6250 0.9615
Ca 0.3750 0.3365 0.4615
Ca 0.6635 0.1250 0.0385
Ca 0.8750 0.9135 0.5385
Pb 0.2500 0.7500 0.5000
Pb 0.5000 0.5000 0.0000
Se 0.0000 0.0000 0.0000
Se 0.7500 0.2500 0.5000



Relative energy table, unit eV/atom: i 0.101; ii 0.000



i:
First-principles (PBE) data for crystalline Ca2SiPb at its relaxed geometry, as listed in Alexandria.

Summary:
- Space-group type: Fm-3m (225)

Unit cell a=5.3393 b=5.3393 c=5.3393 alpha=60.00 beta=60.00 gamma=60.00
Atoms (fractional coordinates):
Ca 0.2500 0.2500 0.2500
Ca 0.7500 0.7500 0.7500
Si 0.0000 0.0000 0.0000
Pb 0.5000 0.5000 0.5000



ii:
First-principles (PBE) data for crystalline Ca2SiPb at its relaxed geometry, as listed in Alexandria.

Summary:
- Space-group type: Pmmm (47)

Unit cell a=3.3762 b=5.3948 c=6.3873 alpha=90.00 beta=90.00 gamma=90.00
Atoms (fractional coordinates):
Ca 0.0000 0.0000 0.0000
Ca 0.5000 0.5000 0.5000
Si 0.0000 0.0000 0.5000
Pb 0.5000 0.5000 0.0000



iii:
First-principles (PBE) data for crystalline Ca2SiPb at its relaxed geometry, as listed in Alexandria.

Summary:
- Space-group type: C2/m (12)

Unit cell a=5.1496 b=5.1496 c=6.6350 alpha=101.65 beta=101.65 gamma=41.52
Atoms (fractional coordinates):
Ca 0.2395 0.2395 0.2300
Ca 0.7605 0.7605 0.7700
Si 0.5000 0.5000 0.0000
Pb 0.0000 0.0000 0.5000



Relative energy table, unit eV/atom: i 0.000; ii 0.240; iii 0.086



i:
First-principles (PBE) data for crystalline CaSi2Pb2 at its relaxed geometry, as listed in Alexandria.

Summary:
- Space-group type: I4/mmm (139)

Unit cell a=10.4978 b=10.4978 c=10.4978 alpha=160.71 beta=160.71 gamma=27.41
Atoms (fractional coordinates):
Ca 0.0000 0.0000 0.0000
Si 0.2500 0.7500 0.5000
Si 0.7500 0.2500 0.5000
Pb 0.3826 0.3826 0.0000
Pb 0.6174 0.6174 0.0000



ii:
First-principles (PBE) data for crystalline CaSi2Pb2 at its relaxed geometry, as listed in Alexandria.

Summary:
- Space-group type: P4/mbm (127)

Unit cell a=7.7169 b=7.7169 c=4.3255 alpha=90.00 beta=90.00 gamma=90.00
Atoms (fractional coordinates):
Ca 0.0000 0.0000 0.0000
Ca 0.5000 0.5000 0.0000
Si 0.1086 0.3914 0.0000
Si 0.3914 0.8914 0.0000
Si 0.6086 0.1086 0.0000
Si 0.8914 0.6086 0.0000
Pb 0.1723 0.6723 0.5000
Pb 0.3277 0.1723 0.5000
Pb 0.6723 0.8277 0.5000
Pb 0.8277 0.3277 0.5000



Relative energy table, unit eV/atom: i 0.088; ii 0.000



i:
First-principles (PBE) data for crystalline CaSmTlPb at its relaxed geometry, as listed in Alexandria.

Summary:
- Space-group type: Pmmm (47)

Unit cell a=4.4449 b=5.1138 c=5.1732 alpha=90.00 beta=90.00 gamma=90.00
Atoms (fractional coordinates):
Ca 0.0000 0.0000 0.0000
Sm 0.0000 0.5000 0.5000
Tl 0.5000 0.5000 0.0000
Pb 0.5000 0.0000 0.5000



ii:
First-principles (PBE) data for crystalline CaSmTlPb at its relaxed geometry, as listed in Alexandria.

Summary:
- Space-group type: F-43m (216)

Unit cell a=5.5150 b=5.5150 c=5.5150 alpha=60.00 beta=60.00 gamma=60.00
Atoms (fractional coordinates):
Ca 0.0000 0.0000 0.0000
Sm 0.5000 0.5000 0.5000
Tl 0.2500 0.2500 0.2500
Pb 0.7500 0.7500 0.7500



Relative energy table, unit eV/atom: i 0.000; ii 0.027



i:
First-principles (PBE) data for crystalline Ca4Sn2Pb at its relaxed geometry, as listed in Alexandria.

Summary:
- Space-group type: I4/mmm (139)

Unit cell a=8.6910 b=8.6910 c=8.6910 alpha=139.91 beta=139.91 gamma=57.99
Atoms (fractional coordinates):
Ca 0.0000 0.5000 0.5000
Ca 0.1977 0.1977 0.0000
Ca 0.5000 0.0000 0.5000
Ca 0.8023 0.8023 0.0000
Sn 0.3979 0.3979 0.0000
Sn 0.6021 0.6021 0.0000
Pb 0.0000 0.0000 0.0000



ii:
First-principles (PBE) data for crystalline Ca4Sn2Pb at its relaxed geometry, as listed in Alexandria.

Summary:
- Space-group type: R-3m (166)

Unit cell a=9.3652 b=9.3652 c=9.3652 alpha=33.74 beta=33.74 gamma=33.74
Atoms (fractional coordinates):
Ca 0.1210 0.1210 0.1210
Ca 0.3735 0.3735 0.3735
Ca 0.6265 0.6265 0.6265
Ca 0.8790 0.8790 0.8790
Sn 0.2515 0.2515 0.2515
Sn 0.7485 0.7485 0.7485
Pb 0.5000 0.5000 0.5000



Relative energy table, unit eV/atom: i 0.319; ii 0.000



i:
First-principles (PBE) data for crystalline Ca2SnPb2 at its relaxed geometry, as listed in Alexandria.

Summary:
- Space-group type: Ibam (72)

Unit cell a=8.3230 b=8.3230 c=8.3230 alpha=126.50 beta=74.30 gamma=132.51
Atoms (fractional coordinates):
Ca 0.1080 0.1765 0.2845
Ca 0.3920 0.6765 0.0685
Ca 0.6080 0.3235 0.9315
Ca 0.8920 0.8235 0.7155
Sn 0.2500 0.7500 0.5000
Sn 0.7500 0.2500 0.5000
Pb 0.1497 0.7343 0.8840
Pb 0.3503 0.2343 0.5845
Pb 0.6497 0.7657 0.4155
Pb 0.8503 0.2657 0.1160



ii:
First-principles (PBE) data for crystalline Ca2SnPb2 at its relaxed geometry, as listed in Alexandria.

Summary:
- Space-group type: P4/mbm (127)

Unit cell a=9.3397 b=9.3397 c=3.5850 alpha=90.00 beta=90.00 gamma=90.00
Atoms (fractional coordinates):
Ca 0.1281 0.3719 0.0000
Ca 0.3719 0.8719 0.0000
Ca 0.6281 0.1281 0.0000
Ca 0.8719 0.6281 0.0000
Sn 0.0000 0.0000 0.0000
Sn 0.5000 0.5000 0.0000
Pb 0.1762 0.6762 0.5000
Pb 0.3238 0.1762 0.5000
Pb 0.6762 0.8238 0.5000
Pb 0.8238 0.3238 0.5000



Relative energy table, unit eV/atom: i 0.000; ii 0.068



i:
First-principles (PBE) data for crystalline Ca2SnPb2 at its relaxed geometry, as listed in Alexandria.

Summary:
- Space-group type: Imma (74)

Unit cell a=9.0328 b=9.0328 c=9.0328 alpha=151.40 beta=112.86 gamma=74.55
Atoms (fractional coordinates):
Ca 0.1501 0.1472 0.0029
Ca 0.3557 0.8528 0.5029
Ca 0.6443 0.1472 0.4971
Ca 0.8499 0.8528 0.9971
Sn 0.4263 0.6763 0.7500
Sn 0.5737 0.3237 0.2500
Pb 0.0794 0.3294 0.7500
Pb 0.2516 0.0016 0.2500
Pb 0.7484 0.9984 0.7500
Pb 0.9206 0.6706 0.2500



ii:
First-principles (PBE) data for crystalline Ca2SnPb2 at its relaxed geometry, as listed in Alexandria.

Summary:
- Space-group type: P4/mbm (127)

Unit cell a=8.1019 b=8.1019 c=4.7604 alpha=90.00 beta=90.00 gamma=90.00
Atoms (fractional coordinates):
Ca 0.1701 0.3299 0.0000
Ca 0.3299 0.8299 0.0000
Ca 0.6701 0.1701 0.0000
Ca 0.8299 0.6701 0.0000
Sn 0.0000 0.0000 0.5000
Sn 0.5000 0.5000 0.5000
Pb 0.1349 0.6349 0.5000
Pb 0.3651 0.1349 0.5000
Pb 0.6349 0.8651 0.5000
Pb 0.8651 0.3651 0.5000



Relative energy table, unit eV/atom: i 0.025; ii 0.000



i:
First-principles (PBE) data for crystalline CaSn3Pb at its relaxed geometry, as listed in Alexandria.

Summary:
- Space-group type: P-1 (2)

Unit cell a=6.0773 b=6.1788 c=6.5870 alpha=62.21 beta=62.75 gamma=87.75
Atoms (fractional coordinates):
Ca 0.0000 0.0000 0.0000
Sn 0.0000 0.0000 0.5000
Sn 0.0000 0.5000 0.5000
Sn 0.5000 0.0000 0.5000
Pb 0.5000 0.5000 0.5000



ii:
First-principles (PBE) data for crystalline CaSn3Pb at its relaxed geometry, as listed in Alexandria.

Summary:
- Space-group type: Pm-3m (221)

Unit cell a=5.7793 b=5.7793 c=5.7793 alpha=90.00 beta=90.00 gamma=90.00
Atoms (fractional coordinates):
Ca 0.0000 0.0000 0.0000
Sn 0.0000 0.5000 0.5000
Sn 0.5000 0.0000 0.5000
Sn 0.5000 0.5000 0.0000
Pb 0.5000 0.5000 0.5000



Relative energy table, unit eV/atom: i 0.000; ii 0.323



i:
First-principles (PBE) data for crystalline Ca3SnPb at its relaxed geometry, as listed in Alexandria.

Summary:
- Space-group type: P2_1/c (14)

Unit cell a=11.0112 b=6.5435 c=11.7404 alpha=90.00 beta=122.12 gamma=90.00
Atoms (fractional coordinates):
Ca 0.0001 0.0000 0.2476
Ca 0.9999 0.0000 0.7524
Ca 0.9999 0.5000 0.2524
Ca 0.0001 0.5000 0.7476
Ca 0.2450 0.2055 0.1217
Ca 0.2450 0.2945 0.6217
Ca 0.3626 0.7502 0.4310
Ca 0.3626 0.7498 0.9310
Ca 0.6374 0.2502 0.0690
Ca 0.6374 0.2498 0.5690
Ca 0.7550 0.7055 0.3783
Ca 0.7550 0.7945 0.8783
Sn 0.3017 0.2503 0.3999
Sn 0.3017 0.2497 0.8999
Sn 0.6983 0.7503 0.1001
Sn 0.6983 0.7497 0.6001
Pb 0.1111 0.7182 0.0556
Pb 0.1111 0.7818 0.5556
Pb 0.8889 0.2182 0.4444
Pb 0.8889 0.2818 0.9444



ii:
First-principles (PBE) data for crystalline Ca3SnPb at its relaxed geometry, as listed in Alexandria.

Summary:
- Space-group type: Pm-3m (221)

Unit cell a=5.9038 b=5.9038 c=5.9038 alpha=90.00 beta=90.00 gamma=90.00
Atoms (fractional coordinates):
Ca 0.0000 0.0000 0.5000
Ca 0.0000 0.5000 0.0000
Ca 0.5000 0.0000 0.0000
Sn 0.5000 0.5000 0.5000
Pb 0.0000 0.0000 0.0000



Relative energy table, unit eV/atom: i 0.000; ii 0.356



i:
First-principles (PBE) data for crystalline Ca8SnPb2 at its relaxed geometry, as listed in Alexandria.

Summary:
- Space-group type: Immm (71)

Unit cell a=9.4054 b=9.4054 c=9.4054 alpha=147.10 beta=126.54 gamma=64.22
Atoms (fractional coordinates):
Ca 0.1276 0.3483 0.7793
Ca 0.1536 0.1536 0.0000
Ca 0.3031 0.0000 0.3031
Ca 0.4310 0.6517 0.7793
Ca 0.5690 0.3483 0.2207
Ca 0.6969 0.0000 0.6969
Ca 0.8464 0.8464 0.0000
Ca 0.8724 0.6517 0.2207
Sn 0.0000 0.5000 0.5000
Pb 0.3079 0.8079 0.5000
Pb 0.6921 0.1921 0.5000



ii:
First-principles (PBE) data for crystalline Ca8SnPb2 at its relaxed geometry, as listed in Alexandria.

Summary:
- Space-group type: C2/m (12)

Unit cell a=10.0263 b=10.0263 c=7.5515 alpha=106.14 beta=106.14 gamma=31.09
Atoms (fractional coordinates):
Ca 0.0269 0.0269 0.2808
Ca 0.2019 0.2019 0.7941
Ca 0.3396 0.3396 0.5481
Ca 0.4053 0.4053 0.0562
Ca 0.5947 0.5947 0.9438
Ca 0.6604 0.6604 0.4519
Ca 0.7981 0.7981 0.2059
Ca 0.9731 0.9731 0.7192
Sn 0.5000 0.5000 0.5000
Pb 0.1887 0.1887 0.2094
Pb 0.8113 0.8113 0.7906



Relative energy table, unit eV/atom: i 0.038; ii 0.000